First-principles (PBE+U) data for a geometry-optimized NaV2F8 structure, as listed in Alexandria via LeMat-Bulk.

Results
space-group type	C2/m, No. 12
calculated volume	14.8	Å³ per atom
polymorph energy (0 for the lowest one)	0.000	eV per formula unit

Unit cell a=5.209 b=5.994 c=5.994 alpha=62.11 beta=98.58 gamma=98.58
Site moments in Bohr magnetons follow the coordinates.
Fractional positions:
Na (0.000, 0.000, 0.000)  0.00
V (0.509, 0.263, 0.263)  1.52
V (0.491, 0.737, 0.737)  1.52
F (0.761, 0.157, 0.157)  -0.03
F (0.685, 0.079, 0.619)  0.00
F (0.239, 0.843, 0.843)  -0.03
F (0.288, 0.379, 0.379)  -0.04
F (0.712, 0.621, 0.621)  -0.04
F (0.315, 0.381, 0.921)  0.00
F (0.315, 0.921, 0.381)  0.00
F (0.685, 0.619, 0.079)  0.00